No. 1
Computed, not measured: crystalline CeIn2Pd at its relaxed geometry at the PBE level of DFT.

symmetry = P4/mmm
energy of formation from the pure elements = -1.9 eV/f.u.

Cell lengths 3.359, 3.359, 7.904 Å; angles 90.00, 90.00, 90.00 degrees
Fractional positions:
Ce: 0.000 0.000 0.000
In: 0.500 0.500 0.297
In: 0.500 0.500 0.703
Pd: 0.000 0.000 0.500

---

No. 2
Computed, not measured: crystalline PrTe2P2Pd7 at its relaxed geometry at the PBE level of DFT.

symmetry = C2/m
formation energy from raw total energies = -496.0 meV/atom

Cell lengths 4.555, 4.555, 11.481 Å; angles 92.60, 92.60, 96.74 degrees
Fractional positions:
Pr: 0.000 0.000 0.000
Te: 0.170 0.170 0.388
Te: 0.830 0.830 0.612
P: 0.319 0.319 0.816
P: 0.681 0.681 0.184
Pd: 0.161 0.571 0.221
Pd: 0.353 0.353 0.607
Pd: 0.429 0.839 0.779
Pd: 0.500 0.500 0.000
Pd: 0.571 0.161 0.221
Pd: 0.647 0.647 0.393
Pd: 0.839 0.429 0.779